# YV2CdO8, relaxed, DFT GGA+U
data_YV2CdO8
_space_group_name_H-M_alt 'I -4 m 2'
_space_group_IT_number 119
_space_group_name_Hall 'I -4 -2'
_cell_length_a 7.240
_cell_length_b 7.240
_cell_length_c 6.437
_cell_angle_alpha 90.00
_cell_angle_beta 90.00
_cell_angle_gamma 90.00
loop_
_atom_site_label
_atom_site_type_symbol
_atom_site_fract_x
_atom_site_fract_y
_atom_site_fract_z
Y1 Y 0.000 0.000 0.000
V1 V 0.000 0.000 0.500
V2 V 0.000 0.500 0.750
Cd1 Cd 0.000 0.500 0.250
O1 O 0.000 0.184 0.325
O2 O 0.000 0.308 0.911
# Total magnetic moment in Bohr magnetons per cell: 2.18
# Energy in eV per atom: -7.14
# Density in g cm⁻³: 4.2